DFT (PBE with a Hubbard U) results for an optimized crystal structure of TiVO2F.

```
TiVO2F
1.0
3.9117 0.0000 0.0000
0.0000 3.9117 0.0000
0.0000 0.0000 3.9242
V O Ti F
1 2 1 1
direct
0.5000 0.5000 0.5000
0.0000 0.5000 0.0000
0.5000 0.0000 0.0000
0.0000 0.0000 0.0000
0.0000 0.0000 0.5000
```

Results
The value obtained for the uncorrected energy is -7.420 eV/atom.